No. 1
A relaxed structure of NaBr2O2F6, computed with PBE.

a b c (Å): 6.879 6.879 4.672
angles (deg): 90.00 90.00 120.00
Sites, in units of the cell vectors:
Na: 0.000 0.000 0.000
Br: 0.333 0.667 0.721
Br: 0.667 0.333 0.279
O: 0.333 0.667 0.377
O: 0.667 0.333 0.623
F: 0.097 0.752 0.772
F: 0.248 0.346 0.772
F: 0.346 0.097 0.228
F: 0.654 0.903 0.772
F: 0.752 0.654 0.228
F: 0.903 0.248 0.228

***

No. 2
A relaxed structure of Na7BrO2F2, computed with PBE.

a b c (Å): 4.543 4.543 11.301
angles (deg): 101.69 101.69 88.42
Sites, in units of the cell vectors:
Na: 0.000 0.000 0.000
Na: 0.069 0.599 0.217
Na: 0.152 0.152 0.416
Na: 0.401 0.931 0.783
Na: 0.599 0.069 0.217
Na: 0.848 0.848 0.584
Na: 0.931 0.401 0.783
Br: 0.500 0.500 0.000
O: 0.104 0.104 0.213
O: 0.896 0.896 0.787
F: 0.218 0.218 0.618
F: 0.782 0.782 0.382

***

No. 3
A relaxed structure of Na4BrOF, computed with PBE.

a b c (Å): 4.468 4.468 13.855
angles (deg): 90.00 90.00 90.00
Sites, in units of the cell vectors:
Na: 0.000 0.000 0.000
Na: 0.000 0.000 0.332
Na: 0.000 0.500 0.180
Na: 0.000 0.500 0.680
Na: 0.500 0.000 0.180
Na: 0.500 0.000 0.680
Na: 0.500 0.500 0.500
Na: 0.500 0.500 0.832
Br: 0.000 0.000 0.526
Br: 0.500 0.500 0.026
O: 0.000 0.000 0.173
O: 0.500 0.500 0.673
F: 0.000 0.000 0.829
F: 0.500 0.500 0.329

***

No. 4
A relaxed structure of NaBrO2F, computed with PBE.

a b c (Å): 6.073 6.073 5.742
angles (deg): 90.00 90.00 128.53
Sites, in units of the cell vectors:
Na: 0.177 0.823 0.750
Na: 0.823 0.177 0.250
Br: 0.492 0.508 0.750
Br: 0.508 0.492 0.250
O: 0.247 0.247 0.000
O: 0.247 0.247 0.500
O: 0.753 0.753 0.000
O: 0.753 0.753 0.500
F: 0.277 0.723 0.250
F: 0.723 0.277 0.750

***

no.,E_form (uncorrected) (eV/atom)
1,-0.810
2,-1.695
3,-1.626
4,-0.542